Model P:
Material: TbEr2Tm7
Method: DFT, PBE
State: optimized geometry

Cell and atoms, written as POSCAR:
```
TbEr2Tm7
1.0
-0.595 -2.169 -4.839
0.332 -4.126 7.698
-8.314 2.718 -3.135
Tm Er Tb
7 2 1
Direct
0.999 0.799 0.600
0.001 0.201 0.400
0.751 0.141 0.780
0.751 0.361 0.220
0.249 0.639 0.780
0.500 0.500 0.000
0.249 0.859 0.220
0.500 0.700 0.399
0.500 0.300 0.601
0.000 0.000 0.000
```

Output
- symmetry = C2/m, No. 12
- crystal system = monoclinic

***

Model Q:
Material: TbEr2Tm7
Method: DFT, PBE
State: optimized geometry

Cell and atoms, written as POSCAR:
```
TbEr2Tm7
1.0
-1.105 3.752 3.438
-8.845 -3.102 0.543
7.100 -2.883 5.426
Tm Er Tb
7 2 1
Direct
0.000 0.801 0.199
0.500 0.289 0.067
0.500 0.500 0.500
0.000 0.199 0.801
0.500 0.711 0.933
0.500 0.933 0.711
0.500 0.067 0.289
0.500 0.701 0.299
0.500 0.299 0.701
0.000 0.000 0.000
```

Output
- symmetry = Cmmm, No. 65
- crystal system = orthorhombic

***

Which structure is most stable? model P, by 664 meV/atom over the runner-up.

***

Model P:
Material: Tb3ErTm2
Method: DFT, PBE
State: optimized geometry

Cell and atoms, written as POSCAR:
```
Tb3ErTm2
1.0
5.580 0.003 0.001
-2.786 8.336 -1.059
0.000 -4.430 8.512
Er Tm Tb
2 4 6
Direct
0.875 0.750 0.878
0.125 0.250 0.122
0.251 0.502 0.915
0.749 0.498 0.085
0.500 0.000 0.835
0.500 0.000 0.165
0.000 0.000 0.668
0.749 0.498 0.420
0.625 0.250 0.628
0.251 0.502 0.580
0.375 0.750 0.372
0.000 0.000 0.332
```

Output
- symmetry = P-1, No. 2
- crystal system = triclinic

***

Model Q:
Material: Tb3ErTm2
Method: DFT, PBE
State: optimized geometry

Cell and atoms, written as POSCAR:
```
Tb3ErTm2
1.0
-0.985 2.770 -6.468
9.196 -1.924 3.625
-0.475 -7.022 0.967
Er Tb Tm
2 6 4
Direct
0.748 0.999 0.749
0.252 0.001 0.251
0.195 0.335 0.639
0.805 0.666 0.861
0.252 0.001 0.750
0.805 0.665 0.361
0.195 0.334 0.139
0.748 0.999 0.250
0.304 0.666 0.861
0.696 0.333 0.639
0.696 0.334 0.139
0.304 0.667 0.361
```

Output
- symmetry = P-1, No. 2
- crystal system = triclinic

***

Which structure is most stable? model Q, by 73 meV/atom over the runner-up.

***

Model P:
Material: Tb5Er2Tm3
Method: DFT, PBE
State: optimized geometry

Cell and atoms, written as POSCAR:
```
Tb5Er2Tm3
1.0
8.386 1.710 -3.968
0.355 8.541 -4.036
-1.832 -2.076 10.678
Tb Er Tm
10 4 6
Direct
0.860 0.610 0.758
0.474 0.724 0.449
0.526 0.276 0.551
0.721 0.471 0.943
0.980 0.230 0.460
0.398 0.148 0.758
0.140 0.390 0.242
0.602 0.852 0.242
0.279 0.529 0.057
0.020 0.770 0.540
0.217 0.986 0.250
0.533 0.264 0.250
0.467 0.736 0.750
0.783 0.014 0.750
0.268 0.538 0.759
0.008 0.779 0.241
0.774 0.024 0.048
0.226 0.976 0.952
0.992 0.221 0.759
0.732 0.462 0.241
```

Output
- symmetry = C2/c, No. 15
- crystal system = monoclinic

***

Model Q:
Material: Tb5Er2Tm3
Method: DFT, PBE
State: optimized geometry

Cell and atoms, written as POSCAR:
```
Tb5Er2Tm3
1.0
-5.895 2.566 -1.888
-6.014 1.496 8.920
-0.871 9.928 4.319
Er Tb Tm
4 10 6
Direct
0.023 0.742 0.213
0.977 0.258 0.787
0.477 0.787 0.258
0.523 0.213 0.742
0.933 0.817 0.817
0.250 0.500 0.500
0.171 0.440 0.219
0.567 0.183 0.183
0.067 0.183 0.183
0.829 0.560 0.781
0.433 0.817 0.817
0.750 0.500 0.500
0.671 0.219 0.440
0.329 0.781 0.560
0.331 0.464 0.874
0.750 0.000 0.000
0.169 0.126 0.536
0.250 0.000 0.000
0.669 0.536 0.126
0.831 0.874 0.464
```

Output
- symmetry = Ibam, No. 72
- crystal system = orthorhombic

***

Which structure is most stable? model P, by 70 meV/atom over the runner-up.

***

Model P:
Material: TbErTmZn
Method: DFT, PBE
State: optimized geometry

Cell and atoms, written as POSCAR:
```
TbErTmZn
1.0
5.292 0.000 0.000
2.646 4.583 0.000
2.646 1.528 4.321
Tm Tb Zn Er
1 1 1 1
Direct
0.500 0.500 0.500
0.750 0.750 0.750
0.000 0.000 0.000
0.250 0.250 0.250
```

Output
- symmetry = F-43m, No. 216
- crystal system = cubic

***

Model Q:
Material: TbErTmZn
Method: DFT, PBE
State: optimized geometry

Cell and atoms, written as POSCAR:
```
TbErTmZn
1.0
-0.902 -0.924 3.287
-2.535 -2.096 -1.285
5.550 -6.521 -0.309
Tm Er Tb Zn
1 1 1 1
Direct
0.500 0.500 0.366
0.500 0.500 0.776
0.000 0.000 0.072
0.000 0.000 0.570
```

Output
- symmetry = P4mm, No. 99
- crystal system = tetragonal

***

Which structure is most stable? model Q, by 202 meV/atom over the runner-up.